[1]
A relaxed La2H8Ru crystal, computed with GGA-PBE.

The final energy comes out at -100.126 eV for the cell shown. As for the total moment: 0.0 μB/f.u.

The structure belongs to space group C2/m (No. 12); the cell edges are 14.033, 3.775 and 4.357 Å and the angles 90.00°, 107.37° and 90.00°. The asymmetric unit holds La at (0.143, 0.000, 0.137), H at (0.001, 0.000, 0.672), H at (0.066, 0.500, 0.232), H at (0.122, 0.500, 0.751), H at (0.243, 0.000, 0.734) and Ru at (0.000, 0.500, 0.500).


[2]
A relaxed LaH2Ru crystal, computed with GGA-PBE.

The final energy comes out at -87.385 eV for the cell shown. As for the total moment: 0.0 μB/f.u. The value obtained for the energy above the most stable polymorph in this dataset is 24.9 meV/atom.

The structure belongs to space group I-42d (No. 122); the cell edges are 4.299, 4.299 and 11.503 Å and the angles 90.00°, 90.00° and 90.00°. The asymmetric unit holds La at (0.000, 0.000, 0.000), H at (0.064, 0.250, 0.625) and Ru at (0.000, 0.000, 0.500).


[3]
A relaxed La3HRu crystal, computed with GGA-PBE.

The final energy comes out at -57.552 eV for the cell shown. As for the total moment: 0.0 μB/f.u. The value obtained for the energy above the most stable polymorph in this dataset is 0.0 meV/atom.

The structure belongs to space group P-1 (No. 2); the cell edges are 3.975, 7.357 and 9.112 Å and the angles 73.72°, 89.89° and 90.00°. The asymmetric unit holds La at (0.000, 0.100, 0.188), La at (0.497, 0.614, 0.161), La at (0.500, 0.243, 0.499), H at (0.000, 0.000, 0.500), H at (0.000, 0.500, 0.000), Ru at (0.000, 0.500, 0.500) and Ru at (0.500, 0.000, 0.000).